Compound: CrHgI2F
Source: Alexandria
Functional: PBE with a Hubbard U
Structure: relaxed

Output
energy: -3.403 eV per atom
DOS(E_F): 0.367 states/eV per atom

Structure (CIF):
```
data_CrHgI2F
_cell_length_a 5.844
_cell_length_b 5.844
_cell_length_c 3.995
_cell_angle_alpha 90.00
_cell_angle_beta 90.00
_cell_angle_gamma 90.00
_symmetry_space_group_name_H-M 'P 4/m m m'
_symmetry_Int_Tables_number 123
_symmetry_space_group_name_Hall '-P 4 2'
loop_
_atom_site_label
_atom_site_fract_x
_atom_site_fract_y
_atom_site_fract_z
Cr1 0.000 0.000 0.000
Hg1 0.500 0.500 0.500
I1 0.000 0.500 0.000
F1 0.000 0.000 0.500
```

***

Compound: CrInHgF2
Source: Alexandria
Functional: PBE with a Hubbard U
Structure: relaxed

Output
energy: -4.211 eV per atom
DOS(E_F): 0.337 states/eV per atom

Structure (CIF):
```
data_CrInHgF2
_cell_length_a 4.083
_cell_length_b 4.083
_cell_length_c 6.427
_cell_angle_alpha 90.00
_cell_angle_beta 90.00
_cell_angle_gamma 90.00
_symmetry_space_group_name_H-M 'P 4/m m m'
_symmetry_Int_Tables_number 123
_symmetry_space_group_name_Hall '-P 4 2'
loop_
_atom_site_label
_atom_site_fract_x
_atom_site_fract_y
_atom_site_fract_z
Cr1 0.000 0.000 0.000
In1 0.500 0.500 0.500
Hg1 0.000 0.000 0.500
F1 0.000 0.500 0.000
```

***

Compound: KCrHgF6
Source: Alexandria
Functional: PBE with a Hubbard U
Structure: relaxed

Output
energy: -4.610 eV per atom
DOS(E_F): 0.000 states/eV per atom

Structure (CIF):
```
data_KCrHgF6
_cell_length_a 5.8653
_cell_length_b 5.8653
_cell_length_c 10.5137
_cell_angle_alpha 90.00
_cell_angle_beta 90.00
_cell_angle_gamma 120.00
_symmetry_space_group_name_H-M 'P -3 1 c'
_symmetry_Int_Tables_number 163
_symmetry_space_group_name_Hall '-P 3 2c'
loop_
_atom_site_label
_atom_site_fract_x
_atom_site_fract_y
_atom_site_fract_z
K1 0.0000 0.0000 0.0000
Cr1 0.3333 0.6667 0.2500
Hg1 0.3333 0.6667 0.7500
F1 0.0502 0.3964 0.1467
```

***

Compound: K2CrHgF6
Source: Alexandria
Functional: PBE with a Hubbard U
Structure: relaxed

Output
energy: -4.540 eV per atom
DOS(E_F): 0.123 states/eV per atom

Structure (CIF):
```
data_K2CrHgF6
_cell_length_a 6.086
_cell_length_b 6.217
_cell_length_c 6.221
_cell_angle_alpha 62.08
_cell_angle_beta 61.98
_cell_angle_gamma 61.64
_symmetry_space_group_name_H-M 'P -1'
_symmetry_Int_Tables_number 2
loop_
_symmetry_equiv_pos_as_xyz
'x,y,z'
'-x,-y,-z'
loop_
_atom_site_label
_atom_site_fract_x
_atom_site_fract_y
_atom_site_fract_z
K1 0.246 0.258 0.265
Cr1 0.500 0.500 0.500
Hg1 0.000 0.000 0.000
F1 0.217 0.348 0.681
F2 0.261 0.793 0.631
F3 0.382 0.682 0.197
```

***

Compound: LiCr2HgF
Source: Alexandria
Functional: PBE with a Hubbard U
Structure: relaxed

Output
energy: -3.488 eV per atom
DOS(E_F): 0.433 states/eV per atom

Structure (CIF):
```
data_LiCr2HgF
_cell_length_a 5.316
_cell_length_b 5.316
_cell_length_c 5.042
_cell_angle_alpha 90.00
_cell_angle_beta 90.00
_cell_angle_gamma 90.00
_symmetry_space_group_name_H-M 'P 4/m m m'
_symmetry_Int_Tables_number 123
_symmetry_space_group_name_Hall '-P 4 2'
loop_
_atom_site_label
_atom_site_fract_x
_atom_site_fract_y
_atom_site_fract_z
Li1 0.000 0.000 0.000
Cr1 0.000 0.500 0.500
Hg1 0.000 0.000 0.500
F1 0.500 0.500 0.000
```

***

Compound: LiCrHgF6
Source: Alexandria
Functional: PBE with a Hubbard U
Structure: relaxed

Output
energy: -4.700 eV per atom
DOS(E_F): 0.000 states/eV per atom

Structure (CIF):
```
data_LiCrHgF6
_cell_length_a 5.2499
_cell_length_b 5.2499
_cell_length_c 9.9031
_cell_angle_alpha 90.00
_cell_angle_beta 90.00
_cell_angle_gamma 120.00
_symmetry_space_group_name_H-M 'P -3 1 c'
_symmetry_Int_Tables_number 163
_symmetry_space_group_name_Hall '-P 3 2c'
loop_
_atom_site_label
_atom_site_fract_x
_atom_site_fract_y
_atom_site_fract_z
Li1 0.3333 0.6667 0.2500
Cr1 0.3333 0.6667 0.7500
Hg1 0.0000 0.0000 0.0000
F1 0.0145 0.3678 0.6410
```

***

Compound: MgCrHgF6
Source: Alexandria
Functional: PBE with a Hubbard U
Structure: relaxed

Output
energy: -4.838 eV per atom
DOS(E_F): 0.264 states/eV per atom

Structure (CIF):
```
data_MgCrHgF6
_cell_length_a 5.3653
_cell_length_b 5.3653
_cell_length_c 11.2518
_cell_angle_alpha 90.00
_cell_angle_beta 90.00
_cell_angle_gamma 120.00
_symmetry_space_group_name_H-M 'P -3 1 c'
_symmetry_Int_Tables_number 163
_symmetry_space_group_name_Hall '-P 3 2c'
loop_
_atom_site_label
_atom_site_fract_x
_atom_site_fract_y
_atom_site_fract_z
Mg1 0.3333 0.6667 0.2500
Cr1 0.3333 0.6667 0.7500
Hg1 0.0000 0.0000 0.0000
F1 0.0095 0.3794 0.6557
```

***

Compound: CrHgNF2
Source: Alexandria
Functional: PBE with a Hubbard U
Structure: relaxed

Output
DOS(E_F): 0.892 states/eV per atom
distance to the lowest polymorph of the same formula: 984.8 meV/atom

Structure (CIF):
```
data_CrHgNF2
_cell_length_a 4.688
_cell_length_b 4.688
_cell_length_c 4.048
_cell_angle_alpha 90.00
_cell_angle_beta 90.00
_cell_angle_gamma 90.00
_symmetry_space_group_name_H-M 'P 4/m m m'
_symmetry_Int_Tables_number 123
_symmetry_space_group_name_Hall '-P 4 2'
loop_
_atom_site_label
_atom_site_fract_x
_atom_site_fract_y
_atom_site_fract_z
Cr1 0.000 0.000 0.000
Hg1 0.500 0.500 0.500
N1 0.500 0.500 0.000
F1 0.000 0.500 0.500
```

***

Compound: CrHgNF2
Source: Alexandria
Functional: PBE with a Hubbard U
Structure: relaxed

Output
DOS(E_F): 0.232 states/eV per atom
distance to the lowest polymorph of the same formula: 0.0 meV/atom

Structure (CIF):
```
data_CrHgNF2
_cell_length_a 3.908
_cell_length_b 3.908
_cell_length_c 4.249
_cell_angle_alpha 90.00
_cell_angle_beta 90.00
_cell_angle_gamma 90.00
_symmetry_space_group_name_H-M 'P 4/m m m'
_symmetry_Int_Tables_number 123
_symmetry_space_group_name_Hall '-P 4 2'
loop_
_atom_site_label
_atom_site_fract_x
_atom_site_fract_y
_atom_site_fract_z
Cr1 0.000 0.000 0.000
Hg1 0.500 0.500 0.500
N1 0.000 0.000 0.500
F1 0.000 0.500 0.000
```

***

Compound: Na2CrHgF6
Source: Alexandria
Functional: PBE with a Hubbard U
Structure: relaxed

Output
energy: -4.386 eV per atom
DOS(E_F): 0.148 states/eV per atom

Structure (CIF):
```
data_Na2CrHgF6
_cell_length_a 8.800
_cell_length_b 8.800
_cell_length_c 8.800
_cell_angle_alpha 90.00
_cell_angle_beta 90.00
_cell_angle_gamma 90.00
_symmetry_space_group_name_H-M 'F m -3 m'
_symmetry_Int_Tables_number 225
_symmetry_space_group_name_Hall '-F 4 2 3'
loop_
_atom_site_label
_atom_site_fract_x
_atom_site_fract_y
_atom_site_fract_z
Na1 0.250 0.250 0.250
Cr1 0.000 0.000 0.000
Hg1 0.000 0.000 0.500
F1 0.000 0.000 0.222
```

***

Compound: NaCrHgF6
Source: Alexandria
Functional: PBE with a Hubbard U
Structure: relaxed

Output
energy: -4.590 eV per atom
DOS(E_F): 0.000 states/eV per atom

Structure (CIF):
```
data_NaCrHgF6
_cell_length_a 5.6007
_cell_length_b 5.6007
_cell_length_c 9.4284
_cell_angle_alpha 90.00
_cell_angle_beta 90.00
_cell_angle_gamma 120.00
_symmetry_space_group_name_H-M 'P -3 1 c'
_symmetry_Int_Tables_number 163
_symmetry_space_group_name_Hall '-P 3 2c'
loop_
_atom_site_label
_atom_site_fract_x
_atom_site_fract_y
_atom_site_fract_z
Na1 0.3333 0.6667 0.2500
Cr1 0.3333 0.6667 0.7500
Hg1 0.0000 0.0000 0.0000
F1 0.0445 0.3758 0.6345
```

***

Compound: Na2CrHgF8
Source: Alexandria
Functional: PBE with a Hubbard U
Structure: relaxed

Output
energy: -4.438 eV per atom

Structure (CIF):
```
data_Na2CrHgF8
_cell_length_a 4.976
_cell_length_b 7.252
_cell_length_c 4.994
_cell_angle_alpha 90.00
_cell_angle_beta 92.44
_cell_angle_gamma 90.00
_symmetry_space_group_name_H-M 'P 1 2/m 1'
_symmetry_Int_Tables_number 10
loop_
_symmetry_equiv_pos_as_xyz
'x,y,z'
'-x,-y,-z'
'-x,y,-z'
'x,-y,z'
loop_
_atom_site_label
_atom_site_fract_x
_atom_site_fract_y
_atom_site_fract_z
Na1 0.000 0.239 0.000
Cr1 0.500 0.000 0.500
Hg1 0.500 0.500 0.500
F1 0.202 0.500 0.199
F2 0.234 0.000 0.231
F3 0.318 0.187 0.679
```